DFT (PBE-GGA) results for a relaxed Tb12DyTl6 crystal.

Computed properties:
Crystal system: trigonal
Total magnetic moment, μB per formula unit: 0.00
Fermi-level density of states, states/eV/cell: 28.83
DFT formation energy, meV/atom: 24

The structure in POSCAR format:
```
Tb12DyTl6
1.0
8.955 0.043 0.060
-2.178 8.686 0.060
-2.178 -2.806 8.221
Tl Tb Dy
6 12 1
direct
0.692 0.241 0.241 Tl
0.241 0.692 0.241 Tl
0.759 0.759 0.308 Tl
0.308 0.759 0.759 Tl
0.241 0.241 0.692 Tl
0.759 0.308 0.759 Tl
0.554 0.820 0.554 Tb
0.500 0.128 0.872 Tb
0.446 0.446 0.180 Tb
0.820 0.554 0.554 Tb
0.180 0.446 0.446 Tb
0.500 0.872 0.128 Tb
0.128 0.500 0.872 Tb
0.128 0.872 0.500 Tb
0.872 0.500 0.128 Tb
0.554 0.554 0.820 Tb
0.872 0.128 0.500 Tb
0.446 0.180 0.446 Tb
0.000 0.000 0.000 Dy
```

DFT (PBE-GGA) results for a relaxed Cs3Ce3CdS8 crystal.

Computed properties:
Crystal system: trigonal
Total magnetic moment, μB per formula unit: 1.12
Fermi-level density of states, states/eV/cell: 12.38
Energy relative to the elements, uncorrected, kJ/mol of formula units: -2213

The structure in POSCAR format:
```
Cs3Ce3CdS8
1.0
8.263 0.000 0.000
-4.131 7.154 -0.025
0.000 -4.739 8.147
Cd S Ce Cs
1 8 3 3
direct
0.000 0.000 0.500 Cd
0.728 0.455 0.683 S
0.281 0.051 0.322 S
0.229 0.949 0.678 S
0.771 0.542 0.322 S
0.272 0.545 0.317 S
0.719 0.949 0.678 S
0.229 0.458 0.678 S
0.771 0.051 0.322 S
0.500 0.000 0.500 Ce
0.000 0.500 0.500 Ce
0.500 0.500 0.500 Ce
0.000 0.500 0.000 Cs
0.000 0.000 0.000 Cs
0.500 0.500 0.000 Cs
```

DFT (PBE-GGA) results for a relaxed Tb2PmPr9 crystal.

Computed properties:
Crystal system: tetragonal
Total magnetic moment, μB per formula unit: 0.00
Fermi-level density of states, states/eV/cell: 20.82
DFT formation energy, meV/atom: 14

The structure in POSCAR format:
```
Tb2PmPr9
1.0
5.207 0.000 0.000
0.000 5.207 0.000
0.000 0.000 15.622
Pr Pm Tb
9 1 2
direct
0.500 0.000 0.832 Pr
0.000 0.500 0.168 Pr
0.500 0.500 0.666 Pr
0.500 0.000 0.168 Pr
0.500 0.500 0.000 Pr
0.000 0.500 0.500 Pr
0.000 0.500 0.832 Pr
0.500 0.500 0.334 Pr
0.500 0.000 0.500 Pr
0.000 0.000 0.000 Pm
0.000 0.000 0.666 Tb
0.000 0.000 0.334 Tb
```

DFT (PBE-GGA) results for a relaxed LiFeHPd2 crystal.

Computed properties:
Crystal system: tetragonal
Total magnetic moment, μB per formula unit: 3.36
Fermi-level density of states, states/eV/cell: 4.06
Uncorrected energy, eV per cell: -24.7

The structure in POSCAR format:
```
LiFeHPd2
1.0
-0.993 -1.308 -3.642
-3.143 -1.920 1.547
-2.080 2.994 -0.509
H Pd Li Fe
1 2 1 1
direct
0.000 0.000 0.000 H
0.500 0.000 0.000 Pd
0.000 0.500 0.000 Pd
0.500 0.500 0.500 Li
0.000 0.000 0.500 Fe
```

DFT (PBE-GGA) results for a relaxed Co2NiSe4 crystal.

Computed properties:
Crystal system: trigonal
Total magnetic moment, μB per formula unit: 0.00
Fermi-level density of states, states/eV/cell: 12.51
Energy relative to the elements, uncorrected, kJ/mol of formula units: -229

The structure in POSCAR format:
```
Co2NiSe4
1.0
6.989 0.000 0.000
-3.494 5.725 -1.989
0.000 -0.071 12.106
Co Se Ni
8 16 4
direct
0.500 0.000 0.000 Co
0.000 0.500 0.000 Co
0.000 0.000 0.000 Co
0.000 0.000 0.500 Co
0.750 0.000 0.750 Co
0.250 0.000 0.250 Co
0.500 0.500 0.500 Co
0.500 0.000 0.500 Co
0.361 0.759 0.120 Se
0.371 0.241 0.611 Se
0.398 0.759 0.620 Se
0.139 0.778 0.379 Se
0.861 0.222 0.621 Se
0.361 0.222 0.121 Se
0.898 0.759 0.120 Se
0.139 0.241 0.380 Se
0.639 0.241 0.880 Se
0.629 0.759 0.389 Se
0.639 0.778 0.879 Se
0.861 0.759 0.620 Se
0.871 0.241 0.111 Se
0.129 0.759 0.889 Se
0.602 0.241 0.380 Se
0.102 0.241 0.880 Se
0.437 0.375 0.812 Ni
0.563 0.625 0.188 Ni
0.938 0.375 0.312 Ni
0.062 0.625 0.688 Ni
```

DFT (PBE-GGA) results for a relaxed Li2DyBiO4 crystal.

Computed properties:
Crystal system: monoclinic
Total magnetic moment, μB per formula unit: 0.00
Fermi-level density of states, states/eV/cell: 0.00
Energy relative to the elements, uncorrected, kJ/mol of formula units: -1605

The structure in POSCAR format:
```
Li2DyBiO4
1.0
-5.970 1.773 2.587
-2.006 -1.192 -6.327
3.143 -4.967 3.050
Li O Bi Dy
4 8 2 2
direct
0.500 0.000 0.000 Li
0.500 0.500 0.000 Li
0.000 0.000 0.500 Li
0.500 0.000 0.500 Li
0.743 0.270 0.530 O
0.257 0.730 0.470 O
0.248 0.296 0.009 O
0.796 0.748 0.509 O
0.204 0.252 0.491 O
0.230 0.757 0.970 O
0.752 0.704 0.991 O
0.770 0.243 0.030 O
0.000 0.000 0.000 Bi
0.500 0.500 0.500 Bi
0.000 0.500 0.500 Dy
0.000 0.500 0.000 Dy
```

What is the total magnetic moment in the second record? 1.12 μB per formula unit